Entry 1:
# LaPmHoAg (PBE, relaxed)
# Fermi-level density of states in states/eV per atom: 1.404
# Energy of formation from the pure elements in eV per atom: 0.096
# Volume in Å³/f.u.: 115.8
# E in eV/atom: -4.18
data_LaPmHoAg
_symmetry_space_group_name_H-M 'F -4 3 m'
_symmetry_Int_Tables_number 216
_symmetry_space_group_name_Hall 'F -4 2 3'
_cell_length_a 7.738
_cell_length_b 7.738
_cell_length_c 7.738
_cell_angle_alpha 90.00
_cell_angle_beta 90.00
_cell_angle_gamma 90.00
loop_
_atom_site_label
_atom_site_type_symbol
_atom_site_fract_x
_atom_site_fract_y
_atom_site_fract_z
La1 La 0.000 0.000 0.000
Pm1 Pm 0.250 0.250 0.750
Ho1 Ho 0.000 0.000 0.500
Ag1 Ag 0.250 0.250 0.250

Entry 2:
# LaPrHoAg (PBE, relaxed)
# Fermi-level density of states in states/eV per atom: 0.860
# Energy of formation from the pure elements in eV per atom: 0.050
# Volume in Å³/f.u.: 120.4
# E in eV/atom: -4.23
data_LaPrHoAg
_symmetry_space_group_name_H-M 'F -4 3 m'
_symmetry_Int_Tables_number 216
_symmetry_space_group_name_Hall 'F -4 2 3'
_cell_length_a 7.838
_cell_length_b 7.838
_cell_length_c 7.838
_cell_angle_alpha 90.00
_cell_angle_beta 90.00
_cell_angle_gamma 90.00
loop_
_atom_site_label
_atom_site_type_symbol
_atom_site_fract_x
_atom_site_fract_y
_atom_site_fract_z
La1 La 0.000 0.000 0.000
Pr1 Pr 0.000 0.000 0.500
Ho1 Ho 0.250 0.250 0.250
Ag1 Ag 0.250 0.250 0.750

Entry 3:
# La2Pr2HoAg5 (PBE, relaxed)
# Fermi-level density of states in states/eV per atom: 0.747
# Energy of formation from the pure elements in eV per atom: -0.119
# Volume in Å³/f.u.: 269.4
# E in eV/atom: -3.94
data_La2Pr2HoAg5
_symmetry_space_group_name_H-M 'P 4/m b m'
_symmetry_Int_Tables_number 127
_symmetry_space_group_name_Hall '-P 4 2ab'
_cell_length_a 11.186
_cell_length_b 11.186
_cell_length_c 4.306
_cell_angle_alpha 90.00
_cell_angle_beta 90.00
_cell_angle_gamma 90.00
loop_
_atom_site_label
_atom_site_type_symbol
_atom_site_fract_x
_atom_site_fract_y
_atom_site_fract_z
La1 La 0.172 0.328 0.000
Pr1 Pr 0.131 0.631 0.000
Ho1 Ho 0.000 0.000 0.000
Ag1 Ag 0.000 0.500 0.500
Ag2 Ag 0.061 0.819 0.500

Entry 4:
# LaPrHoAg (PBE, relaxed)
# Fermi-level density of states in states/eV per atom: 1.379
# Energy of formation from the pure elements in eV per atom: -0.125
# Volume in Å³/f.u.: 122.0
# E in eV/atom: -4.41
data_LaPrHoAg
_symmetry_space_group_name_H-M 'P 4 m m'
_symmetry_Int_Tables_number 99
_cell_length_a 3.710
_cell_length_b 3.710
_cell_length_c 8.865
_cell_angle_alpha 90.00
_cell_angle_beta 90.00
_cell_angle_gamma 90.00
loop_
_symmetry_equiv_pos_as_xyz
'x,y,z'
'-y,x,z'
'-x,-y,z'
'y,-x,z'
'-x,y,z'
'y,x,z'
'x,-y,z'
'-y,-x,z'
loop_
_atom_site_label
_atom_site_type_symbol
_atom_site_fract_x
_atom_site_fract_y
_atom_site_fract_z
La1 La 0.000 0.000 0.000
Pr1 Pr 0.500 0.500 0.300
Ho1 Ho 0.000 0.000 0.581
Ag1 Ag 0.500 0.500 0.765

Entry 5:
# LaHoAgSb (PBE, relaxed)
# Fermi-level density of states in states/eV per atom: 1.168
# Volume in Å³/f.u.: 107.9
# E in eV/atom: -4.70
# Formation energy (no corrections) in eV/atom: -0.58
data_LaHoAgSb
_symmetry_space_group_name_H-M 'F -4 3 m'
_symmetry_Int_Tables_number 216
_symmetry_space_group_name_Hall 'F -4 2 3'
_cell_length_a 7.558
_cell_length_b 7.558
_cell_length_c 7.558
_cell_angle_alpha 90.00
_cell_angle_beta 90.00
_cell_angle_gamma 90.00
loop_
_atom_site_label
_atom_site_type_symbol
_atom_site_fract_x
_atom_site_fract_y
_atom_site_fract_z
La1 La 0.000 0.000 0.000
Ho1 Ho 0.000 0.000 0.500
Ag1 Ag 0.250 0.250 0.250
Sb1 Sb 0.250 0.250 0.750

Entry 6:
# LaHoSiAg (PBE, relaxed)
# Fermi-level density of states in states/eV per atom: 0.919
# Volume in Å³/f.u.: 98.3
# E in eV/atom: -4.87
# Formation energy (no corrections) in eV/atom: -0.42
data_LaHoSiAg
_symmetry_space_group_name_H-M 'F -4 3 m'
_symmetry_Int_Tables_number 216
_symmetry_space_group_name_Hall 'F -4 2 3'
_cell_length_a 7.325
_cell_length_b 7.325
_cell_length_c 7.325
_cell_angle_alpha 90.00
_cell_angle_beta 90.00
_cell_angle_gamma 90.00
loop_
_atom_site_label
_atom_site_type_symbol
_atom_site_fract_x
_atom_site_fract_y
_atom_site_fract_z
La1 La 0.000 0.000 0.000
Ho1 Ho 0.000 0.000 0.500
Si1 Si 0.250 0.250 0.750
Ag1 Ag 0.250 0.250 0.250